--- 1 ---
Here is an optimized crystal structure of CsK2SeCl from Alexandria. Energies are from PBE-GGA.

Properties
The space group is No. 123.

```
CsK2SeCl
1.0
6.158 0.000 0.000
0.000 6.158 0.000
0.000 0.000 6.981
K Cs Cl Se
2 1 1 1
Cartesian
0.000 3.079 0.000
3.079 0.000 0.000
0.000 0.000 3.491
3.079 3.079 3.491
0.000 0.000 0.000
```

--- 2 ---
Here is an optimized crystal structure of CsK2SeCl from Alexandria. Energies are from PBE-GGA.

Properties
The space group is No. 107.

```
CsK2SeCl
1.0
-3.150 1.200 -4.005
-2.650 -4.452 0.751
-2.393 5.684 7.006
Cs K Se Cl
1 2 1 1
Cartesian
-3.342 -1.287 -1.178
-3.906 -0.247 2.998
-4.156 2.579 0.620
-1.414 1.084 1.437
-6.468 1.109 1.998
```

--- 3 ---
Here is an optimized crystal structure of CsK2SeCl from Alexandria. Energies are from PBE-GGA.

Properties
The space group is No. 123.

```
CsK2SeCl
1.0
-3.614 -6.626 -0.422
2.602 -1.081 -5.309
5.777 -3.375 3.519
Cs K Se Cl
1 2 1 1
Cartesian
0.000 0.000 0.000
-1.807 -3.313 -0.211
2.889 -1.688 1.759
1.301 -0.541 -2.655
2.383 -5.541 -1.106
```

Decreasing stability: 2, 1, 3

--- 1 ---
Here is an optimized crystal structure of Cs2KSeCl6 from Alexandria. Energies are from PBE-GGA.

Properties
The space group is No. 166.

```
Cs2KSeCl6
1.0
7.610 0.000 0.000
3.805 6.590 0.000
3.805 2.197 14.596
Cl Se K Cs
12 2 2 4
Cartesian
5.597 3.231 12.977
7.610 6.534 5.907
9.464 3.323 5.907
5.597 5.556 1.619
5.756 3.323 5.907
9.464 5.464 8.690
9.623 3.231 12.977
9.623 5.556 1.619
7.610 6.718 12.977
5.756 5.464 8.690
7.610 2.069 1.619
7.610 2.253 8.690
7.610 4.394 7.298
0.000 0.000 0.000
7.610 4.394 3.596
7.610 4.394 11.001
11.415 6.590 5.815
3.805 2.197 1.157
3.805 2.197 8.781
11.415 6.590 13.440
```

--- 2 ---
Here is an optimized crystal structure of Cs2KSeCl6 from Alexandria. Energies are from PBE-GGA.

Properties
The space group is No. 139.

```
Cs2KSeCl6
1.0
-1.767 3.109 -7.205
-7.847 -0.661 1.639
-4.779 6.211 -0.638
Se Cl Cs K
1 6 2 1
Cartesian
0.000 0.000 0.000
-6.417 0.226 -0.442
-2.261 0.576 -1.309
-7.352 1.872 -4.257
-4.791 4.008 -1.586
-9.601 4.651 -4.619
-3.197 2.222 -5.125
-8.716 3.387 -0.891
-5.676 5.272 -5.313
-4.807 1.224 -2.783
```

Decreasing stability: 2, 1

--- 1 ---
Here is an optimized crystal structure of Cs2KSrCl from Alexandria. Energies are from PBE-GGA.

Properties
The space group is No. 123.

```
Cs2KSrCl
1.0
7.541 0.000 0.000
0.000 7.541 0.000
0.000 0.000 5.917
K Cs Cl Sr
1 2 1 1
Cartesian
3.771 3.771 2.959
3.771 0.000 0.000
0.000 3.771 0.000
0.000 0.000 0.000
0.000 0.000 2.959
```

--- 2 ---
Here is an optimized crystal structure of Cs2KSrCl from Alexandria. Energies are from PBE-GGA.

Properties
The space group is No. 123.

```
Cs2KSrCl
1.0
7.050 0.000 0.000
0.000 7.050 0.000
0.000 0.000 6.577
Cs Sr K Cl
2 1 1 1
Cartesian
3.525 0.000 0.000
0.000 3.525 0.000
3.525 3.525 3.289
0.000 0.000 3.289
0.000 0.000 0.000
```

Decreasing stability: 1, 2

--- 1 ---
Here is an optimized crystal structure of Cs2KWCl6 from Alexandria. Energies are from PBE-GGA.

Properties
The space group is No. 166.

```
Cs2KWCl6
1.0
-3.315 -5.282 4.238
4.165 -4.378 4.509
-1.254 6.303 13.581
K Cs W Cl
2 4 2 12
Cartesian
-0.605 0.817 13.958
0.201 -4.173 8.370
0.221 -5.765 13.109
-0.625 2.408 9.219
-0.548 -0.998 18.448
0.144 -2.359 3.880
-0.202 -1.678 11.164
0.000 0.000 0.000
-1.717 -3.577 10.720
1.313 0.220 11.607
2.358 -4.373 6.183
-2.762 1.016 16.144
-2.153 -0.199 11.482
-0.223 -2.227 13.571
1.281 1.505 16.291
-1.685 -4.862 6.037
0.566 -7.227 8.474
-0.970 3.871 13.854
-0.181 -1.130 8.757
1.749 -3.158 10.846
```

--- 2 ---
Here is an optimized crystal structure of Cs2KWCl6 from Alexandria. Energies are from PBE-GGA.

Properties
The space group is No. 225.

```
Cs2KWCl6
1.0
-5.986 2.364 -4.322
-3.535 -6.798 1.178
-7.186 -0.180 2.902
Cs Cl K W
2 6 1 1
Cartesian
-8.966 -0.016 -1.496
-7.741 -4.597 1.254
-5.437 0.311 -3.089
-10.608 -3.521 -1.138
-6.099 -1.093 0.897
-2.134 -0.994 -0.704
-7.388 -3.440 -2.439
-4.084 -4.745 -0.054
-4.761 -2.217 -1.572
0.000 0.000 0.000
```

Decreasing stability: 2, 1

--- 1 ---
Here is an optimized crystal structure of Cs3LaCl6 from Alexandria. Energies are from PBE-GGA.

Properties
The space group is No. 15.

```
Cs3LaCl6
1.0
-13.776 2.574 3.131
-11.675 -4.783 6.857
1.583 6.563 12.066
La Cs Cl
4 12 24
Cartesian
-6.096 4.569 7.599
-5.837 -2.391 3.429
-11.702 -1.660 9.123
-12.165 6.014 12.931
-16.476 5.366 13.858
-14.865 2.810 17.510
-14.558 1.115 5.273
-9.309 3.239 16.781
-15.965 -2.478 10.136
-7.391 -1.012 8.196
-9.001 1.544 4.544
-16.431 2.239 10.105
-11.211 3.846 8.779
-7.902 6.832 11.919
-12.656 0.508 13.276
-7.436 2.115 11.950
-13.413 -3.010 7.398
-10.272 4.074 12.267
-1.020 1.456 4.296
-10.454 7.364 14.657
-5.522 4.802 10.343
-17.039 -0.581 7.395
-10.725 -0.395 6.835
-13.870 4.646 11.215
-20.917 -1.379 8.476
-13.142 4.749 15.219
-19.996 1.452 14.737
-2.950 5.734 13.578
-22.847 2.899 17.758
-0.412 5.378 10.005
-6.828 4.935 14.659
-18.040 4.539 16.881
-9.996 -0.291 10.839
-3.870 2.902 7.318
-13.595 0.281 9.787
-7.850 2.460 8.218
-23.455 -1.024 12.050
-16.017 1.894 13.836
-5.827 -0.184 5.173
-18.345 -0.448 11.712
```

--- 2 ---
Here is an optimized crystal structure of Cs3LaCl6 from Alexandria. Energies are from PBE-GGA.

Properties
The space group is No. 12.

```
Cs3LaCl6
1.0
8.511 -0.097 -0.068
3.994 7.261 -0.015
3.994 2.413 6.848
Cs Cl La
3 6 1
Cartesian
0.000 0.000 0.000
4.342 2.339 1.653
12.156 7.237 5.113
9.374 2.688 1.899
10.073 4.331 5.456
6.425 2.987 4.506
7.124 6.888 4.866
10.073 6.590 2.259
6.425 5.246 1.309
8.249 4.788 3.383
```

Decreasing stability: 1, 2

--- 1 ---
Here is an optimized crystal structure of CsLa3Cl from Alexandria. Energies are from PBE-GGA.

Properties
The space group is No. 221.

```
CsLa3Cl
1.0
5.748 0.000 0.000
0.000 5.748 0.000
0.000 0.000 5.748
Cl La Cs
1 3 1
Cartesian
0.000 0.000 0.000
2.874 0.000 0.000
0.000 2.874 0.000
0.000 0.000 2.874
2.874 2.874 2.874
```

--- 2 ---
Here is an optimized crystal structure of CsLa3Cl from Alexandria. Energies are from PBE-GGA.

Properties
The space group is No. 221.

```
CsLa3Cl
1.0
5.984 0.000 0.000
0.000 5.984 0.000
0.000 0.000 5.984
La Cs Cl
3 1 1
Cartesian
0.000 0.000 2.992
0.000 2.992 0.000
2.992 0.000 0.000
0.000 0.000 0.000
2.992 2.992 2.992
```

Decreasing stability: 1, 2

--- 1 ---
Here is an optimized crystal structure of CsLaS2Cl from Alexandria. Energies are from PBE-GGA.

Properties
The space group is No. 123.

```
CsLaS2Cl
1.0
5.604 0.000 0.000
0.000 5.604 0.000
0.000 0.000 5.731
S La Cs Cl
2 1 1 1
Cartesian
0.000 2.802 0.000
2.802 0.000 0.000
2.802 2.802 2.866
0.000 0.000 0.000
0.000 0.000 2.866
```

--- 2 ---
Here is an optimized crystal structure of CsLaS2Cl from Alexandria. Energies are from PBE-GGA.

Properties
The space group is No. 123.

```
CsLaS2Cl
1.0
-4.618 -3.051 0.551
2.203 -2.533 4.435
-2.265 4.050 3.437
S Cl La Cs
2 1 1 1
Cartesian
-2.309 -1.526 0.276
1.101 -1.266 2.218
-1.133 2.025 1.719
0.000 0.000 0.000
-2.340 -0.767 4.212
```

Decreasing stability: 2, 1

--- 1 ---
Here is an optimized crystal structure of Cs2LiCl from Alexandria. Energies are from PBE-GGA.

Properties
The space group is No. 123.

```
Cs2LiCl
1.0
4.369 0.000 0.000
0.000 4.369 0.000
0.000 0.000 10.019
Cs Li Cl
2 1 1
Cartesian
0.000 0.000 2.031
0.000 0.000 7.989
2.185 2.185 5.010
2.185 2.185 0.000
```

--- 2 ---
Here is an optimized crystal structure of Cs2LiCl from Alexandria. Energies are from PBE-GGA.

Properties
The space group is No. 225.

```
Cs2LiCl
1.0
2.400 -5.991 1.182
3.738 -1.052 5.288
-2.328 -3.536 5.012
Cs Li Cl
2 1 1
Cartesian
0.953 -2.645 2.871
2.858 -7.934 8.612
0.000 0.000 0.000
1.905 -5.289 5.741
```

Decreasing stability: 1, 2

--- 1 ---
Here is an optimized crystal structure of Cs2LiOsCl6 from Alexandria. Energies are from PBE-GGA.

Properties
The space group is No. 166.

```
Cs2LiOsCl6
1.0
-2.430 3.635 -5.904
-7.034 2.086 -0.392
-0.364 12.305 3.154
Li Cl Cs Os
2 12 4 2
Cartesian
-4.225 11.581 -0.274
-5.603 6.445 -2.869
-6.019 11.114 -1.904
-3.809 6.912 -1.239
-2.817 10.164 -1.725
-4.913 9.459 0.784
-5.926 13.112 1.369
-7.686 6.036 -4.723
-6.378 4.080 -1.546
-2.142 11.990 1.580
-3.902 4.913 -4.512
-7.010 7.861 -1.417
-4.915 8.566 -3.926
-3.450 13.946 -1.596
-2.807 3.201 -1.445
-8.414 9.634 -4.320
-7.020 14.825 -1.697
-1.414 8.392 1.177
0.000 0.000 0.000
-4.914 9.013 -1.571
```

--- 2 ---
Here is an optimized crystal structure of Cs2LiOsCl6 from Alexandria. Energies are from PBE-GGA.

Properties
The space group is No. 139.

```
Cs2LiOsCl6
1.0
-5.462 -4.722 -0.345
3.985 -4.301 -4.228
1.072 -6.908 1.859
Os Li Cs Cl
1 1 2 6
Cartesian
0.000 0.000 0.000
-0.739 -4.511 -2.286
-2.564 -8.071 -0.386
2.159 -7.860 -2.327
0.222 -5.783 -0.087
1.764 -4.400 -3.315
-0.628 -10.148 -2.626
-1.130 -6.901 -3.497
-3.241 -4.623 -1.257
-0.347 -2.121 -1.075
```

Decreasing stability: 1, 2

--- 1 ---
Here is an optimized crystal structure of CsLiPCl2 from Alexandria. Energies are from PBE-GGA.

Properties
The space group is No. 123.

```
CsLiPCl2
1.0
-4.479 -2.515 1.079
0.841 -3.235 -4.047
2.597 -3.272 3.155
Li P Cs Cl
1 1 1 2
Cartesian
0.000 0.000 0.000
1.298 -1.636 1.577
-0.521 -4.511 0.093
0.421 -1.617 -2.024
-2.240 -1.257 0.540
```

--- 2 ---
Here is an optimized crystal structure of CsLiPCl2 from Alexandria. Energies are from PBE-GGA.

Properties
The space group is No. 123.

```
CsLiPCl2
1.0
-2.528 -5.669 -1.199
1.442 0.652 -6.120
5.079 -2.463 0.935
P Li Cl Cs
1 1 2 1
Cartesian
2.539 -1.231 0.467
1.996 -3.740 -3.192
-1.264 -2.834 -0.600
0.721 0.326 -3.060
0.000 0.000 0.000
```

Decreasing stability: 1, 2

--- 1 ---
Here is an optimized crystal structure of CsLiP2Cl from Alexandria. Energies are from PBE-GGA.

Properties
The space group is No. 123.

```
CsLiP2Cl
1.0
6.152 0.000 0.000
0.000 6.152 0.000
0.000 0.000 6.383
P Li Cl Cs
2 1 1 1
Cartesian
0.000 3.076 0.000
3.076 0.000 0.000
3.076 3.076 3.191
0.000 0.000 3.191
0.000 0.000 0.000
```

--- 2 ---
Here is an optimized crystal structure of CsLiP2Cl from Alexandria. Energies are from PBE-GGA.

Properties
The space group is No. 123.

```
CsLiP2Cl
1.0
4.699 0.000 0.000
0.000 4.699 0.000
0.000 0.000 6.285
Cl Li Cs P
1 1 1 2
Cartesian
0.000 0.000 3.143
0.000 0.000 0.000
2.349 2.349 3.143
0.000 2.349 0.000
2.349 0.000 0.000
```

Decreasing stability: 2, 1